(1)
Computed, not measured: a relaxed Co7Ni8 crystal at the PBE level of DFT.

## Properties
The value obtained for the formation enthalpy at 0 K is 0.08 eV per atom. The energy above the most stable polymorph in this dataset is 0 meV/atom. As for the calculated volume: 328.4 Å³ per cell.

Unit cell a=8.5406 b=8.5406 c=4.5023 alpha=90.00 beta=90.00 gamma=90.00
Space group P4_2/mnm (No. 136)
Unique sites:
Co  0.0000  0.0000  0.0000 [2 per cell]
Co  0.0681  0.2625  0.0000 [8 per cell]
Co  0.0969  0.0969  0.5000 [4 per cell]
Ni  0.0377  0.3670  0.5000 [8 per cell]
Ni  0.1800  0.8200  0.2511 [8 per cell]

(2)
Computed, not measured: a relaxed HfBeGaNi crystal at the PBE level of DFT.

## Properties
The energy above the most stable polymorph in this dataset is 0 meV/atom. As for the calculated volume: 217.4 Å³ per cell.

Unit cell a=6.0131 b=6.0131 c=6.0131 alpha=90.00 beta=90.00 gamma=90.00
Space group F-43m (No. 216)
Unique sites:
Hf  0.0000  0.0000  0.0000 [4 per cell]
Be  0.2500  0.2500  0.2500 [4 per cell]
Ga  0.0000  0.0000  0.5000 [4 per cell]
Ni  0.2500  0.2500  0.7500 [4 per cell]

(3)
Computed, not measured: a relaxed BW8C4 crystal at the PBE level of DFT.

## Properties
As for the total energy: -11.271 eV/atom. As for the calculated volume: 635.6 Å³ per cell.

Unit cell a=9.9576 b=10.4300 c=6.1203 alpha=90.00 beta=90.00 gamma=90.00
Space group Pnma (No. 62)
Unique sites:
B  0.1446  0.2500  0.1241 [4 per cell]
W  0.0197  0.1227  0.3714 [8 per cell]
W  0.0246  0.1229  0.8747 [8 per cell]
W  0.1957  0.7500  0.3637 [4 per cell]
W  0.2057  0.7500  0.8972 [4 per cell]
W  0.2474  0.0136  0.1275 [8 per cell]
C  0.1122  0.5647  0.3728 [8 per cell]
C  0.1131  0.5687  0.8813 [8 per cell]

(4)
Computed, not measured: a relaxed Pr2YSn3Pt3 crystal at the PBE level of DFT.

## Properties
As for the total energy: -6.187 eV/atom. As for the calculated volume: 414.9 Å³ per cell.

Unit cell a=4.1160 b=13.1967 c=7.6388 alpha=90.00 beta=90.00 gamma=90.00
Space group Amm2 (No. 38)
Unique sites:
Pr  0.0000  0.2054  0.0000 [4 per cell]
Y  0.0000  0.0000  0.3855 [2 per cell]
Sn  0.5000  0.0000  0.0487 [2 per cell]
Sn  0.5000  0.1256  0.6652 [4 per cell]
Pt  0.0000  0.0000  0.7892 [2 per cell]
Pt  0.5000  0.1622  0.2959 [4 per cell]

(5)
Computed, not measured: a relaxed KGdTmNi2 crystal at the PBE level of DFT.

## Properties
As for the total energy: -4.432 eV/atom. As for the calculated volume: 263.6 Å³ per cell.

Unit cell a=3.6726 b=4.0486 c=17.7268 alpha=90.00 beta=90.00 gamma=90.00
Space group Amm2 (No. 38)
Unique sites:
K  0.0000  0.0000  0.0000 [2 per cell]
Gd  0.5000  0.0000  0.3287 [2 per cell]
Tm  0.5000  0.0000  0.6679 [2 per cell]
Ni  0.0000  0.0000  0.2022 [2 per cell]
Ni  0.0000  0.0000  0.7878 [2 per cell]

(6)
Computed, not measured: a relaxed MgTcPO crystal at the PBE level of DFT.

## Properties
The energy above the most stable polymorph in this dataset is 135 meV/atom. As for the calculated volume: 113.0 Å³ per cell.

Unit cell a=3.1801 b=6.1184 c=5.8064 alpha=90.00 beta=90.00 gamma=90.00
Space group Pmc2_1 (No. 26)
Unique sites:
Mg  0.0000  0.1065  0.0000 [2 per cell]
Tc  0.5000  0.4923  0.6426 [2 per cell]
P  0.0000  0.3039  0.3999 [2 per cell]
O  0.5000  0.2415  0.8907 [2 per cell]

(7)
Computed, not measured: a relaxed Tb2Sm2O5 crystal at the PBE level of DFT.

## Properties
The energy above the most stable polymorph in this dataset is 0 meV/atom. As for the calculated volume: 145.3 Å³ per cell.

Unit cell a=4.0832 b=4.0832 c=8.7158 alpha=90.00 beta=90.00 gamma=90.00
Space group P4/mmm (No. 123)
Unique sites:
Tb  0.0000  0.0000  0.2459 [2 per cell]
Sm  0.5000  0.5000  0.0000 [1 per cell]
Sm  0.5000  0.5000  0.5000 [1 per cell]
O  0.0000  0.0000  0.5000 [1 per cell]
O  0.0000  0.5000  0.1546 [4 per cell]

(8)
Computed, not measured: a relaxed DyLuPu crystal at the PBE level of DFT.

## Properties
The value obtained for the formation enthalpy at 0 K is 0.80 eV per atom. The energy above the most stable polymorph in this dataset is 0 meV/atom. As for the calculated volume: 415.7 Å³ per cell.

Unit cell a=7.4635 b=7.4635 c=7.4635 alpha=90.00 beta=90.00 gamma=90.00
Space group F-43m (No. 216)
Unique sites:
Dy  0.0000  0.0000  0.0000 [4 per cell]
Lu  0.2500  0.2500  0.2500 [4 per cell]
Pu  0.0000  0.0000  0.5000 [4 per cell]

(9)
Computed, not measured: a relaxed ZrAg crystal at the PBE level of DFT.

## Properties
The value obtained for the formation enthalpy at 0 K is 0.01 eV per atom. As for the calculated volume: 484.5 Å³ per cell.

Unit cell a=6.7341 b=14.6937 c=4.8964 alpha=90.00 beta=90.00 gamma=90.00
Space group Pbcm (No. 57)
Unique sites:
Zr  0.1175  0.1551  0.2500 [4 per cell]
Zr  0.3686  0.6430  0.2500 [4 per cell]
Zr  0.3806  0.1850  0.7500 [4 per cell]
Ag  0.1108  0.0252  0.7500 [4 per cell]
Ag  0.1332  0.6867  0.7500 [4 per cell]
Ag  0.3607  0.5141  0.7500 [4 per cell]

(10)
Computed, not measured: a relaxed SiHgMo crystal at the PBE level of DFT.

## Properties
The energy above the most stable polymorph in this dataset is 0 meV/atom. As for the calculated volume: 217.5 Å³ per cell.

Unit cell a=6.0135 b=6.0135 c=6.0135 alpha=90.00 beta=90.00 gamma=90.00
Space group F-43m (No. 216)
Unique sites:
Si  0.0000  0.0000  0.0000 [4 per cell]
Hg  0.2500  0.2500  0.7500 [4 per cell]
Mo  0.2500  0.2500  0.2500 [4 per cell]

(11)
Computed, not measured: a relaxed LiTaCoSi crystal at the PBE level of DFT.

## Properties
The energy above the most stable polymorph in this dataset is 236 meV/atom. As for the calculated volume: 205.7 Å³ per cell.

Unit cell a=5.9028 b=5.9028 c=5.9028 alpha=90.00 beta=90.00 gamma=90.00
Space group F-43m (No. 216)
Unique sites:
Li  0.0000  0.0000  0.0000 [4 per cell]
Ta  0.2500  0.2500  0.2500 [4 per cell]
Co  0.2500  0.2500  0.7500 [4 per cell]
Si  0.0000  0.0000  0.5000 [4 per cell]

(12)
Computed, not measured: a relaxed ZrPt crystal at the PBE level of DFT.

## Properties
The value obtained for the formation enthalpy at 0 K is -0.79 eV per atom. As for the calculated volume: 375.7 Å³ per cell.

Unit cell a=4.9477 b=15.3411 c=4.9494 alpha=90.00 beta=90.00 gamma=90.00
Space group Amm2 (No. 38)
Unique sites:
Zr  0.0000  0.0000  0.0000 [2 per cell]
Zr  0.0000  0.1123  0.4992 [4 per cell]
Zr  0.5000  0.1149  0.9896 [4 per cell]
Pt  0.0000  0.1947  0.0025 [4 per cell]
Pt  0.5000  0.0000  0.4936 [2 per cell]
Pt  0.5000  0.1966  0.4874 [4 per cell]

Record order is preserved below.
Total moment: 16.69, 0.00, 0.00, 0.00, 0.00, 0.40, 1.59, 6.49, 0.00, 0.03, 1.41, 0.29 μB per formula unit